Entry 1:
Entry from the Alexandria database: a relaxed InPt2S crystal (PBE).

Calculated values
The calculation puts the raw formation energy at -0.91 eV per formula unit.

Cell: 4.934 4.934 7.935 Å, 71.89 71.89 90.00°
Sites, in units of the cell vectors:
Pt 0.375 0.478 0.750
S 0.500 0.500 0.000
Pt 0.522 0.125 0.250
Pt 0.228 0.625 0.250
In 0.000 0.000 0.000
In 0.750 0.250 0.500
Pt 0.875 0.772 0.750
S 0.250 0.750 0.500

=====

Entry 2:
Entry from the Alexandria database: a relaxed CeSm3Er7 crystal (PBE).

Calculated values
As for the formation energy: 197.4 meV/atom.

Cell: 8.619 6.995 6.995 Å, 120.00 90.00 90.00°
Each line ends with the local moment (μB).
Sites, in units of the cell vectors:
Er 0.121 0.169 0.831  -0.02
Er 0.447 0.334 0.167  -0.03
Er 0.121 0.663 0.831  -0.02
Er 0.447 0.833 0.666  -0.03
Sm 0.781 0.498 0.502  0.00
Er 0.447 0.833 0.167  -0.03
Sm 0.781 0.498 0.997  0.00
Er 0.121 0.667 0.333  0.00
Sm 0.781 0.003 0.502  0.00
Ce 0.446 0.333 0.667  -0.59
Er 0.121 0.169 0.337  -0.02

=====

Entry 3:
Entry from the Alexandria database: a relaxed Pm2SmDyTe5 crystal (PBE).

Calculated values
The calculation puts the raw formation energy at -6.44 eV per formula unit.

Cell: 5.636 5.636 11.643 Å, 90.00 90.00 90.00°
Each line ends with the local moment (μB).
Sites, in units of the cell vectors:
Te 0.000 0.000 0.757  0.00
Te 0.500 0.000 0.500  0.00
Pm 0.500 0.500 0.656  0.16
Sm 0.000 0.000 0.500  0.02
Pm 0.500 0.500 0.344  0.16
Te 0.000 0.500 0.500  0.00
Te 0.000 0.000 0.243  0.00
Te 0.500 0.500 0.000  0.02
Dy 0.000 0.000 0.000  0.01

=====

Calculated volume / Å³ per cell: 173; 365; 370